(1)
Here is a relaxed Al2TlCl crystal from the Alexandria database. Energies are from PBE-GGA.

Computed properties:
size of the total moment = 0.0000 μB per atom
energy = -11.36 eV for the cell shown
Fermi-level density of states = 1.50 states/eV/f.u.
E_form (uncorrected) = 84 meV per atom
excess energy over the best structure of this formula in the dataset = 216 meV/atom

Cell: 5.351 5.351 3.199 Å, 90.00 90.00 90.12°
Sites, in units of the cell vectors:
Cl 0.500 0.000 0.500
Al 0.500 0.500 0.000
Al 0.000 0.000 0.000
Tl 0.000 0.500 0.500

=====

(2)
Here is a relaxed NaCaPb crystal from the Alexandria database. Energies are from PBE-GGA.

Computed properties:
size of the total moment = 0.0000 μB per atom
energy = -16.17 eV for the cell shown
Fermi-level density of states = 1.31 states/eV/f.u.
ΔE_f = -0.352 eV per atom

Cell: 3.845 5.370 10.481 Å, 59.25 100.88 89.99°
Sites, in units of the cell vectors:
Ca 0.248 0.349 0.763
Ca 0.375 0.584 0.030
Pb 0.706 0.928 0.685
Pb 0.918 0.005 0.108
Na 0.569 0.701 0.411
Na 0.054 0.230 0.382

=====

(3)
Here is a relaxed PrZn2GeIr2 crystal from the Alexandria database. Energies are from PBE-GGA.

Computed properties:
size of the total moment = 0.1231 μB per atom
energy = -30.22 eV for the cell shown
Fermi-level density of states = 5.00 states/eV/f.u.
ΔE_f = -0.092 eV per atom

Cell: 4.621 4.621 5.728 Å, 90.00 90.00 90.00°
Site moments in Bohr magnetons follow the coordinates.
Sites, in units of the cell vectors:
Ge 0.000 0.000 0.000  0.01
Ir 0.500 0.000 0.000  0.34
Ir 0.000 0.500 0.000  0.34
Zn 0.500 0.500 0.264  0.00
Zn 0.500 0.500 0.736  0.00
Pr 0.000 0.000 0.500  0.02